A plane-wave DFT calculation with PBE was carried out for Ac4CdAgAu2 after structural relaxation.

The structure belongs to space group R-3m (No. 166, hexagonal axes); the cell edges are 5.6044, 5.6044 and 27.4223 Å and the angles 90.00°, 90.00° and 120.00°. The asymmetric unit holds Ac at (0.0000, 0.0000, 0.1224), Ac at (0.0000, 0.0000, 0.3726), Cd at (0.0000, 0.0000, 0.5000), Ag at (0.0000, 0.0000, 0.0000) and Au at (0.0000, 0.0000, 0.2469).

As for the total moment: 0.0 μB per formula unit. For the energy of formation from the pure elements, the calculation gives -516.0 meV per atom.